Crystalline MgZn2Au3 at its relaxed geometry, computed with PBE.

formation enthalpy at 0 K	-0.348	eV per atom

Cell lengths 4.552, 6.490, 7.170 Å; angles 90.00, 108.35, 90.00 degrees
Positions (direct):
Mg 0.166 0.000 0.332
Mg 0.834 0.000 0.668
Zn 0.172 0.500 0.343
Zn 0.500 0.000 0.000
Zn 0.500 0.500 0.000
Zn 0.828 0.500 0.657
Au 0.000 0.259 0.000
Au 0.000 0.741 0.000
Au 0.337 0.254 0.674
Au 0.337 0.746 0.674
Au 0.663 0.254 0.326
Au 0.663 0.746 0.326



Crystalline Cu2BrCl at its relaxed geometry, computed with PBE.

offset from the most stable computed form	0.225	eV/atom
E_form (uncorrected)	-80.0	meV/atom

Cell lengths 4.045, 3.522, 6.531 Å; angles 90.00, 100.64, 90.00 degrees
Positions (direct):
Cu 0.232 0.000 0.240
Cu 0.768 0.000 0.760
Br 0.500 0.500 0.500
Cl 0.000 0.500 0.000



Crystalline CeSm2I6 at its relaxed geometry, computed with PBE.

offset from the most stable computed form	0.000	eV/atom
E_form (uncorrected)	-1253.7	meV/atom

Cell lengths 9.003, 9.003, 11.628 Å; angles 115.25, 115.25, 27.08 degrees
Positions (direct):
Ce 0.000 0.000 0.000
Sm 0.325 0.325 0.653
Sm 0.675 0.675 0.347
I 0.027 0.027 0.290
I 0.316 0.316 0.379
I 0.350 0.350 0.944
I 0.650 0.650 0.056
I 0.684 0.684 0.621
I 0.973 0.973 0.710



Crystalline HoTh2Sc at its relaxed geometry, computed with PBE.

formation enthalpy at 0 K	0.053	eV per atom
offset from the most stable computed form	0.015	eV/atom

Cell lengths 11.462, 11.462, 11.462 Å; angles 17.58, 17.58, 17.58 degrees
Positions (direct):
Ho 0.000 0.000 0.000
Th 0.246 0.246 0.246
Th 0.417 0.417 0.417
Sc 0.830 0.830 0.830



V per entry: 16.75 22.86 42.83 29.99 Å³/atom
Total DFT energy (no corrections) per entry: -32.13 -12.03 -35.96 -25.53 eV for the cell shown